Computed, not measured: an optimized crystal structure of RbCuGe at the PBE level of DFT. Values from VASP.

Values from the calculation:
DFT formation energy: 0.43 eV per formula unit
size of the total moment: 0.0504 μB/atom
N(E_F): 2.7 states/eV per cell

The structure in Quantum ESPRESSO input format:
```
&SYSTEM
  ibrav = 0, nat = 3, ntyp = 3
/
ATOMIC_SPECIES
Rb 85.47 Rb.upf
Cu 63.55 Cu.upf
Ge 72.64 Ge.upf
CELL_PARAMETERS angstrom
5.7584 0.0000 0.0000
0.0000 4.1610 0.0000
0.0000 -2.0805 3.6035
ATOMIC_POSITIONS crystal
Rb 0.6665 0.6667 0.3333
Cu 0.1669 0.3333 0.6667
Ge 0.1666 0.0000 0.0000
```